Density functional theory data (PBE-GGA) for crystalline Ag4Se2I at its relaxed geometry.

Computed properties:
ΔE to the lowest computed polymorph (meV per atom): 25
Final energy (eV/cell): -40.35
Energy relative to the elements, uncorrected (eV/atom): -0.04

Cell: 8.1817 8.1829 8.1880 Å, 120.05 119.90 90.04°
With the nearest neighbours (Å) after each atom.
Atoms (fractional coordinates):
Se (0.6250, 0.8750, 0.2500)  6 Ag 2.71
Ag (0.8579, 0.1422, 0.2841)  3 Se 2.71, 1 I 2.85
I (0.0002, 0.0004, 0.0000)  4 Ag 2.85
Se (0.6250, 0.3750, 0.2500)  6 Ag 2.71
Se (0.6250, 0.3750, 0.7500)  6 Ag 2.71
Ag (0.3920, 0.6079, 0.7838)  3 Se 2.71, 1 I 2.85
Ag (0.4261, 0.1419, 0.2840)  3 Se 2.71, 1 I 2.85
Ag (0.8581, 0.5738, 0.7158)  3 Se 2.71, 1 I 2.85
Ag (0.3922, 0.6077, 0.2159)  3 Se 2.71, 1 I 2.85
Ag (0.3919, 0.1762, 0.7842)  3 Se 2.71, 1 I 2.85
Ag (0.8240, 0.6080, 0.2160)  3 Se 2.71, 1 I 2.85
Ag (0.8580, 0.1422, 0.7162)  3 Se 2.71, 1 I 2.85
Se (0.1250, 0.3750, 0.7500)  6 Ag 2.71
I (0.2498, 0.7497, 0.5000)  4 Ag 2.85